Entry 1:
# GGA-PBE Ca2Al3Si4, relaxed
data_Ca2Al3Si4
_chemical_formula_sum 'Ca8 Al12 Si16'
_cell_length_a 5.783
_cell_length_b 15.158
_cell_length_c 7.754
_cell_angle_alpha 90.00
_cell_angle_beta 90.00
_cell_angle_gamma 90.00
_symmetry_space_group_name_H-M 'C m c e'
_symmetry_Int_Tables_number 64
_symmetry_space_group_name_Hall '-C 2ac 2'
loop_
_atom_site_label
_atom_site_type_symbol
_atom_site_fract_x
_atom_site_fract_y
_atom_site_fract_z
_atom_site_occupancy
Ca1 Ca 0.000 0.111 0.086 1
Al1 Al 0.000 0.000 0.500 1
Al2 Al 0.250 0.219 0.750 1
Si1 Si 0.000 0.185 0.456 1
Si2 Si 0.250 0.054 0.750 1
# Spin magnetization = 0.0 Bohr magnetons per cell
# Volume = 18.88 Å³ per atom
# ρ = 2.67 Mg/m³
# E_tot = -39.13 eV/f.u.
# Formation energy from raw total energies = -0.245 eV/atom

Entry 2:
# GGA-PBE CaAlSi2, relaxed
data_CaAlSi2
_chemical_formula_sum 'Ca1 Al1 Si2'
_cell_length_a 3.424
_cell_length_b 3.424
_cell_length_c 6.629
_cell_angle_alpha 90.00
_cell_angle_beta 90.00
_cell_angle_gamma 90.00
_symmetry_space_group_name_H-M 'P 4 m m'
_symmetry_Int_Tables_number 99
_symmetry_space_group_name_Hall 'P 4 -2'
loop_
_atom_site_label
_atom_site_type_symbol
_atom_site_fract_x
_atom_site_fract_y
_atom_site_fract_z
_atom_site_occupancy
Ca1 Ca 0.000 0.000 0.000 1
Al1 Al 0.500 0.500 0.674 1
Si1 Si 0.000 0.000 0.463 1
Si2 Si 0.500 0.500 0.304 1
# Spin magnetization = 0.0 Bohr magnetons per cell
# Volume = 19.43 Å³ per atom
# ρ = 2.63 Mg/m³
# E_tot = -16.82 eV/f.u.
# Formation energy from raw total energies = -0.058 eV/atom